TlPbBr | GGA-PBEsol | relaxed

Cell: 3.916 3.916 11.161 Å, 90.00 90.00 90.00°
Space group I4mm (No. 107)
Unique sites:
Tl 0.000 0.000 0.000 [2 per cell]
Pb 0.000 0.000 0.341 [2 per cell]
Br 0.000 0.000 0.674 [2 per cell]

Values from the calculation:
VASP energy: -3.049 eV/atom
energy relative to the elements, uncorrected: -0.65 eV/f.u.
spin magnetization: 0.0 μB per formula unit

TlPbBr2 | GGA-PBEsol | relaxed

Cell: 3.654 5.414 6.300 Å, 90.00 90.00 90.00°
Space group Pmm2 (No. 25)
Unique sites:
Tl 0.000 0.000 0.000 [1 per cell]
Pb 0.500 0.500 0.501 [1 per cell]
Br 0.000 0.000 0.500 [1 per cell]
Br 0.500 0.500 0.002 [1 per cell]

Values from the calculation:
VASP energy: -3.115 eV/atom
energy relative to the elements, uncorrected: -2.09 eV/f.u.
spin magnetization: 0.0 μB per formula unit

TlPb2Br5 | GGA-PBEsol | relaxed

Cell: 9.154 8.208 12.916 Å, 90.00 90.20 90.00°
Space group P2_1/c (No. 14)
Unique sites:
Tl 0.008 0.046 0.170 [4 per cell]
Pb 0.246 0.574 0.006 [4 per cell]
Pb 0.492 0.516 0.322 [4 per cell]
Br 0.043 0.177 0.413 [4 per cell]
Br 0.266 0.689 0.778 [4 per cell]
Br 0.272 0.158 0.687 [4 per cell]
Br 0.276 0.538 0.502 [4 per cell]
Br 0.456 0.166 0.402 [4 per cell]

Values from the calculation:
VASP energy: -3.363 eV/atom
energy relative to the elements, uncorrected: -6.93 eV/f.u.
spin magnetization: 0.0 μB per formula unit